No. 1
Na3VS3O12: PBEsol geometry, SCAN.

* formation energy from raw total energies: -3649 kJ/mol of formula units

Cell lengths 13.3998, 13.3998, 9.1341 Å; angles 90.00, 90.00, 120.00 degrees
Last column: nearest neighbours and their distance in Å.
Space group R-3 (No. 148, hexagonal axes)
One atom of each set of equivalent atoms:
Na (0.0297, 0.4418, 0.3240) x18  4 O 2.30-2.50
V (0.0000, 0.0000, 0.0000) x3  6 O 1.96
V (0.0000, 0.0000, 0.5000) x3  6 O 2.01
S (0.0235, 0.1861, 0.2401) x18  4 O 1.46-1.51
O (0.0146, 0.8817, 0.6188) x18  1 S 1.51
O (0.0293, 0.7405, 0.7618) x18  1 S 1.47
O (0.0347, 0.8988, 0.8829) x18  1 S 1.51
O (0.0857, 0.5673, 0.8903) x18  1 S 1.46

---

No. 2
SiAsIO2: PBEsol geometry, SCAN.

* formation energy from raw total energies: -182 kJ/mol of formula units

Cell lengths 3.6359, 3.6359, 6.3736 Å; angles 90.00, 90.00, 90.00 degrees
Last column: nearest neighbours and their distance in Å.
Space group P4/mmm (No. 123)
One atom of each set of equivalent atoms:
Si (0.0000, 0.0000, 0.0000) x1  4 O 1.82
As (0.5000, 0.5000, 0.5000) x1  4 I 2.57
I (0.0000, 0.0000, 0.5000) x1  4 As 2.57
O (0.0000, 0.5000, 0.0000) x2  2 Si 1.82

---

No. 3
LiAlP2: PBEsol geometry, SCAN.

Cell lengths 3.5516, 3.5516, 8.9664 Å; angles 90.00, 90.00, 90.00 degrees
Last column: nearest neighbours and their distance in Å.
Space group I-4m2 (No. 119)
One atom of each set of equivalent atoms:
Li (0.0000, 0.0000, 0.0000) x2  4 P 2.51
Al (0.0000, 0.5000, 0.7500) x2  4 P 2.51
P (0.0000, 0.0000, 0.5000) x2  4 Li 2.51
P (0.0000, 0.5000, 0.2500) x2  4 Al 2.51

---

No. 4
Hf6NiBi2: PBEsol geometry, SCAN.

Cell lengths 7.7340, 7.7340, 3.6164 Å; angles 90.00, 90.00, 120.00 degrees
Last column: nearest neighbours and their distance in Å.
Space group P-62m (No. 189)
One atom of each set of equivalent atoms:
Hf (0.0000, 0.2353, 0.0000) x3  2 Ni 2.57
Hf (0.0000, 0.6117, 0.5000) x3  4 Bi 3.00, 1 Ni 3.00, 4 Hf 3.18
Ni (0.0000, 0.0000, 0.5000) x1  6 Hf 2.57
Bi (0.3333, 0.6667, 0.0000) x2  9 Hf 3.00-3.03

---

Number 1: VASP energy -1029.66 eV for the cell shown. Number 2: VASP energy -81.30 eV for the cell shown. Number 3: VASP energy -62.34 eV for the cell shown. Number 4: VASP energy -552.42 eV for the cell shown.